# 1
The following is a PBE calculation of an optimized crystal structure of ErThTeSe, from Alexandria via LeMat-Bulk.

```
data_ErThTeSe
_chemical_formula_sum 'Er3 Th3 Te3 Se3'
_symmetry_space_group_name_H-M 'R 3 m'
_symmetry_Int_Tables_number 160
_symmetry_space_group_name_Hall 'R 3 -2"'
_cell_length_a 4.0730
_cell_length_b 4.0730
_cell_length_c 22.9387
_cell_angle_alpha 90.00
_cell_angle_beta 90.00
_cell_angle_gamma 120.00
loop_
_atom_site_label
_atom_site_fract_x
_atom_site_fract_y
_atom_site_fract_z
Er1 0.0000 0.0000 0.0000
Th1 0.0000 0.0000 0.8167
Te1 0.0000 0.0000 0.5803
Se1 0.0000 0.0000 0.4020
```

raw formation energy	-1374	meV per atom
volume	329	Å³/cell
mass density	9.16	g/cm3
DOS at the Fermi energy	10.449	states/eV per cell

***

# 2
The following is a PBE calculation of an optimized crystal structure of ErThTeSe2, from Alexandria via LeMat-Bulk.

```
data_ErThTeSe2
_chemical_formula_sum 'Er2 Th2 Te2 Se4'
_symmetry_space_group_name_H-M 'I 4 m m'
_symmetry_Int_Tables_number 107
_symmetry_space_group_name_Hall 'I 4 -2'
_cell_length_a 4.6891
_cell_length_b 4.6891
_cell_length_c 13.7338
_cell_angle_alpha 90.00
_cell_angle_beta 90.00
_cell_angle_gamma 90.00
loop_
_atom_site_label
_atom_site_fract_x
_atom_site_fract_y
_atom_site_fract_z
Er1 0.0000 0.0000 0.0000
Th1 0.0000 0.0000 0.2663
Te1 0.0000 0.0000 0.6503
Se1 0.0000 0.5000 0.3923
```

raw formation energy	-1278	meV per atom
volume	302	Å³/cell
mass density	7.53	g/cm3
DOS at the Fermi energy	2.607	states/eV per cell

***

# 3
The following is a PBE calculation of an optimized crystal structure of ErTlTeSe, from Alexandria via LeMat-Bulk.

```
data_ErTlTeSe
_chemical_formula_sum 'Er3 Tl3 Te3 Se3'
_symmetry_space_group_name_H-M 'R 3 m'
_symmetry_Int_Tables_number 160
_symmetry_space_group_name_Hall 'R 3 -2"'
_cell_length_a 4.2718
_cell_length_b 4.2718
_cell_length_c 24.4135
_cell_angle_alpha 90.00
_cell_angle_beta 90.00
_cell_angle_gamma 120.00
loop_
_atom_site_label
_atom_site_fract_x
_atom_site_fract_y
_atom_site_fract_z
Er1 0.0000 0.0000 0.0000
Tl1 0.0000 0.0000 0.1631
Te1 0.0000 0.0000 0.5902
Se1 0.0000 0.0000 0.3922
```

raw formation energy	-1186	meV per atom
volume	386	Å³/cell
mass density	7.47	g/cm3